Record 1
# LiTbCdNi

A geometry-optimized LiTbCdNi structure (PBE, Alexandria via LeMat-Bulk).

Cell and atoms, written as POSCAR:
```
LiTbCdNi
1.0
4.709 0.000 0.000
2.354 4.078 0.000
2.354 1.359 3.845
Ni Li Tb Cd
1 1 1 1
Cartesian
4.709 2.719 1.922
0.000 0.000 0.000
2.354 1.359 0.961
7.063 4.078 2.884
```

Values from the calculation:
**Energy of formation**: -193 meV/atom
**Raw total energy**: -3.503 eV per atom

=====

Record 2
# Na2GaSn

A geometry-optimized Na2GaSn structure (PBE, Alexandria via LeMat-Bulk).

Cell and atoms, written as POSCAR:
```
Na2GaSn
1.0
8.602 0.000 0.000
0.000 8.602 0.000
4.301 4.301 2.957
Na Sn Ga
4 2 2
Cartesian
6.319 2.150 0.739
2.282 6.451 0.739
6.451 6.583 2.218
10.752 10.620 2.218
0.000 0.000 0.000
8.602 4.301 1.478
4.301 4.301 0.000
4.301 8.602 1.478
```

Values from the calculation:
**Energy of formation**: 87 meV/atom
**Energy relative to the lowest polymorph listed for this composition**: 0.211 eV/atom
**Raw total energy**: -2.329 eV per atom

=====

Record 3
# Pm8Nd2Sn

A geometry-optimized Pm8Nd2Sn structure (PBE, Alexandria via LeMat-Bulk).

Cell and atoms, written as POSCAR:
```
Pm8Nd2Sn
1.0
-0.258 -4.065 2.934
-2.598 -4.386 -6.306
9.346 1.310 -1.658
Pm Nd Sn
8 2 1
Cartesian
6.123 -3.063 -3.706
0.774 -6.271 -4.327
4.453 -6.173 -3.867
7.604 -3.868 -0.397
2.037 -0.968 -1.162
5.716 -0.870 -0.703
0.367 -4.077 -1.323
-1.114 -3.273 -4.633
4.028 -4.036 -0.944
2.463 -3.105 -4.085
-0.129 -2.032 1.467
```

Values from the calculation:
**Energy of formation**: -115 meV/atom
**Raw total energy**: -4.800 eV per atom

=====

Record 4
# LiNi2Rh

A geometry-optimized LiNi2Rh structure (PBE, Alexandria via LeMat-Bulk).

Cell and atoms, written as POSCAR:
```
LiNi2Rh
1.0
2.659 0.000 0.000
0.000 2.659 0.000
0.000 0.000 7.007
Li Ni Rh
1 2 1
Cartesian
1.329 1.329 5.255
0.000 0.000 7.003
0.000 0.000 3.507
1.329 1.329 1.752
```

Values from the calculation:
**Energy of formation**: 61 meV/atom
**Raw total energy**: -5.146 eV per atom

=====

Record 5
# SrCdGa2Pd

A geometry-optimized SrCdGa2Pd structure (PBE, Alexandria via LeMat-Bulk).

Cell and atoms, written as POSCAR:
```
SrCdGa2Pd
1.0
4.893 0.000 0.000
0.000 4.893 0.000
0.000 0.000 5.222
Sr Ga Pd Cd
1 2 1 1
Cartesian
2.446 2.446 2.611
0.000 2.446 0.000
2.446 0.000 0.000
0.000 0.000 0.000
0.000 0.000 2.611
```

Values from the calculation:
**Energy of formation**: -323 meV/atom
**Raw total energy**: -3.092 eV per atom

=====

Record 6
# ZnRuW

A geometry-optimized ZnRuW structure (PBE, Alexandria via LeMat-Bulk).

Cell and atoms, written as POSCAR:
```
ZnRuW
1.0
-4.618 -4.943 1.930
-2.603 -5.093 3.737
-2.148 1.351 0.953
Ru W Zn
1 1 1
Cartesian
-2.155 1.335 0.960
-5.508 -6.191 4.075
-3.853 -2.477 2.538
```

Values from the calculation:
**Energy of formation**: 224 meV/atom
**Energy relative to the lowest polymorph listed for this composition**: 0.279 eV/atom
**Raw total energy**: -7.610 eV per atom

=====

Record 7
# TbThGaPt

A geometry-optimized TbThGaPt structure (PBE, Alexandria via LeMat-Bulk).

Cell and atoms, written as POSCAR:
```
TbThGaPt
1.0
-3.609 -3.514 0.915
0.906 -4.930 -1.039
0.602 -3.353 3.821
Ga Tb Pt Th
1 1 1 1
Cartesian
-1.575 -8.848 2.773
-1.050 -5.899 1.848
-0.525 -2.949 0.924
0.000 0.000 0.000
```

Values from the calculation:
**Energy of formation**: -727 meV/atom
**Energy relative to the lowest polymorph listed for this composition**: 0.140 eV/atom
**Raw total energy**: -6.006 eV per atom

=====

Record 8
# PdBr2N

A geometry-optimized PdBr2N structure (PBE, Alexandria via LeMat-Bulk).

Cell and atoms, written as POSCAR:
```
PdBr2N
1.0
0.815 0.227 4.665
-0.409 4.137 2.280
-3.599 0.705 3.004
Br Pd N
2 1 1
Cartesian
-0.798 1.267 2.487
-2.395 3.801 7.462
-1.596 2.534 4.974
0.000 0.000 0.000
```

Values from the calculation:
**Energy relative to the lowest polymorph listed for this composition**: 0.216 eV/atom
**Energy relative to the elements, uncorrected**: 553 kJ/mol of formula units
**Raw total energy**: -2.782 eV per atom